No. 1
Entry from the Alexandria database: a geometry-optimized Ba4Te3 structure (PBE).

* crystal system: trigonal
* energy above the most stable polymorph in this dataset: 0.0 kJ per mole of atoms
* calculated total energy: -27.50 eV for the cell shown

a = 4.951 Å, b = 4.951 Å, c = 16.502 Å
α = 81.37°, β = 81.37°, γ = 59.99°
Positions (direct):
Ba1 0.126 0.126 0.623
Ba2 0.375 0.375 0.875
Te1 0.248 0.248 0.255
Ba3 0.874 0.874 0.377
Te2 0.000 0.000 0.000
Ba4 0.625 0.625 0.125
Te3 0.752 0.752 0.745

No. 2
Entry from the Alexandria database: a geometry-optimized InIrCl structure (PBE).

* crystal system: hexagonal
* energy above the most stable polymorph in this dataset: 7.4 kJ per mole of atoms
* calculated total energy: -12.50 eV for the cell shown

a = 4.448 Å, b = 4.448 Å, c = 3.167 Å
α = 90.00°, β = 90.00°, γ = 120.00°
Positions (direct):
In1 0.333 0.667 0.334
Ir1 0.667 0.333 0.833
Cl1 0.000 0.000 0.833

No. 3
Entry from the Alexandria database: a geometry-optimized BaSrZn2Pd structure (PBE).

* formation enthalpy at 0 K: -198 meV per atom
* crystal system: tetragonal
* calculated total energy: -12.34 eV for the cell shown

a = 5.186 Å, b = 5.186 Å, c = 5.460 Å
α = 90.00°, β = 90.00°, γ = 90.00°
Positions (direct):
Sr1 0.000 0.000 0.500
Ba1 0.500 0.500 0.500
Zn1 0.000 0.500 0.000
Pd1 0.000 0.000 0.000
Zn2 0.500 0.000 0.000

No. 4
Entry from the Alexandria database: a geometry-optimized LuNbCoCu structure (PBE).

* formation enthalpy at 0 K: -12 meV per atom
* crystal system: cubic
* calculated total energy: -25.84 eV for the cell shown

a = 4.527 Å, b = 4.527 Å, c = 4.527 Å
α = 60.00°, β = 60.00°, γ = 60.00°
Positions (direct):
Cu1 0.750 0.750 0.750
Lu1 0.500 0.500 0.500
Co1 0.250 0.250 0.250
Nb1 0.000 0.000 0.000

No. 5
Entry from the Alexandria database: a geometry-optimized Y2GeIN structure (PBE).

* crystal system: tetragonal
* calculated total energy: -27.11 eV for the cell shown

a = 5.546 Å, b = 3.944 Å, c = 5.546 Å
α = 90.00°, β = 90.00°, γ = 90.00°
Positions (direct):
N1 0.000 0.500 0.000
I1 0.500 0.500 0.500
Y1 0.500 0.000 0.000
Y2 0.000 0.000 0.500
Ge1 0.000 0.000 0.000

No. 6
Entry from the Alexandria database: a geometry-optimized NaNiAs structure (PBE).

* formation enthalpy at 0 K: -232 meV per atom
* crystal system: hexagonal
* calculated total energy: -12.45 eV for the cell shown

a = 4.471 Å, b = 3.940 Å, c = 3.940 Å
α = 120.00°, β = 90.00°, γ = 90.00°
Positions (direct):
As1 0.167 0.000 0.000
Na1 0.667 0.333 0.667
Ni1 0.167 0.667 0.333

No. 7
Entry from the Alexandria database: a geometry-optimized Mg5ZrSc4 structure (PBE).

* formation enthalpy at 0 K: -15 meV per atom
* crystal system: tetragonal
* calculated total energy: -41.99 eV for the cell shown

a = 3.561 Å, b = 3.561 Å, c = 18.076 Å
α = 90.00°, β = 90.00°, γ = 90.00°
Positions (direct):
Mg1 0.500 0.500 0.702
Sc1 0.000 0.000 0.400
Zr1 0.000 0.000 0.000
Sc2 0.000 0.000 0.804
Mg2 0.500 0.500 0.298
Mg3 0.500 0.500 0.902
Mg4 0.500 0.500 0.500
Sc3 0.000 0.000 0.196
Sc4 0.000 0.000 0.600
Mg5 0.500 0.500 0.098

No. 8
Entry from the Alexandria database: a geometry-optimized ZrTcAu4 structure (PBE).

* formation enthalpy at 0 K: 217 meV per atom
* crystal system: cubic
* calculated total energy: -30.72 eV for the cell shown

a = 5.417 Å, b = 5.417 Å, c = 5.417 Å
α = 60.00°, β = 60.00°, γ = 60.00°
Last column: magnetic moment on the atom in μB.
Positions (direct):
Au1 0.375 0.375 0.375  0.03
Zr1 0.000 0.000 0.000  -0.17
Au2 0.375 0.874 0.375  0.03
Tc1 0.750 0.750 0.750  1.65
Au3 0.375 0.375 0.874  0.03
Au4 0.874 0.375 0.375  0.03

Question: Which of these has the lowest calculated total energy?
Answer: Mg5ZrSc4